No. 1
Pm3Y2In PBE relaxed; polymorph energy (0 for the lowest one) = 50 meV/atom
1.0
8.660 -3.430 0.000
8.660 3.430 0.000
-1.161 0.000 6.435
Pm Y In
6 4 2
Direct
0.051 0.284 0.034
0.215 0.785 0.750
0.284 0.051 0.534
0.716 0.949 0.466
0.785 0.215 0.250
0.949 0.716 0.966
0.234 0.444 0.430
0.444 0.234 0.930
0.556 0.766 0.070
0.766 0.556 0.570
0.297 0.703 0.250
0.703 0.297 0.750

***

No. 2
TbSmCl4 PBE relaxed; raw formation energy = -1.88 eV/atom
1.0
3.856 -8.208 0.000
3.856 8.208 0.000
-3.844 0.000 5.520
Tb Sm Cl
2 2 8
Direct
0.059 0.941 0.750
0.941 0.059 0.250
0.443 0.557 0.250
0.557 0.443 0.750
0.074 0.418 0.252
0.170 0.309 0.744
0.309 0.170 0.244
0.418 0.074 0.752
0.582 0.926 0.248
0.691 0.830 0.756
0.830 0.691 0.256
0.926 0.582 0.748

***

No. 3
# Sr2Al4GeAu3

A relaxed structure of Sr2Al4GeAu3 (PBE, the Alexandria database).

```
Sr2Al4GeAu3
1.0
4.536 0.000 0.000
0.000 4.536 0.000
0.000 0.000 10.566
Sr Al Ge Au
2 4 1 3
Direct
0.000 0.500 0.247
0.500 0.000 0.753
0.000 0.000 0.500
0.000 0.500 0.869
0.500 0.000 0.131
0.500 0.500 0.500
0.500 0.500 0.000
0.000 0.000 0.000
0.000 0.500 0.626
0.500 0.000 0.374
```

***

| no. | total energy (eV/cell) | calculated density (g/cm3) |
| --- | --- | --- |
| 1 | -61.15 | 6.320 |
| 2 | -56.08 | 4.288 |
| 3 | -38.58 | 7.232 |